[1]
# LiReIrRu (PBE, relaxed)
# - ΔH_f (0 K): 0.00 eV/atom
data_LiReIrRu
_chemical_formula_sum 'Li1 Re1 Ir1 Ru1'
_cell_length_a 4.2677
_cell_length_b 4.2677
_cell_length_c 4.2677
_cell_angle_alpha 60.00
_cell_angle_beta 60.00
_cell_angle_gamma 60.00
_space_group_name_H-M_alt 'P 1'
_space_group_IT_number 1
loop_
_space_group_symop_operation_xyz
'x,y,z'
loop_
_atom_site_label
_atom_site_type_symbol
_atom_site_fract_x
_atom_site_fract_y
_atom_site_fract_z
_atom_site_occupancy
Ru1 Ru 0.7500 0.7500 0.7500 1
Li1 Li 0.5000 0.5000 0.5000 1
Re1 Re 0.0000 0.0000 0.0000 1
Ir1 Ir 0.2500 0.2500 0.2500 1

=====

[2]
# Sm4Er3Te8 (PBE, relaxed)
# - Formation energy (no corrections): -1.3744 eV per atom
data_Sm4Er3Te8
_chemical_formula_sum 'Sm4 Er3 Te8'
_cell_length_a 8.7347
_cell_length_b 8.7421
_cell_length_c 8.7421
_cell_angle_alpha 89.97
_cell_angle_beta 120.01
_cell_angle_gamma 120.01
_space_group_name_H-M_alt 'P 1'
_space_group_IT_number 1
loop_
_space_group_symop_operation_xyz
'x,y,z'
loop_
_atom_site_label
_atom_site_type_symbol
_atom_site_fract_x
_atom_site_fract_y
_atom_site_fract_z
_atom_site_occupancy
Sm1 Sm 0.0000 0.5000 0.0000 1
Sm2 Sm 0.5000 0.0000 0.0000 1
Sm3 Sm 0.0000 0.0000 0.5000 1
Sm4 Sm 0.0000 0.0000 0.0000 1
Er1 Er 0.5000 0.5000 0.5000 1
Er2 Er 0.5000 0.0000 0.5000 1
Er3 Er 0.5000 0.5000 0.0000 1
Te1 Te 0.9932 0.7385 0.7385 1
Te2 Te 0.0068 0.2615 0.2615 1
Te3 Te 0.5000 0.2534 0.7466 1
Te4 Te 0.5166 0.2616 0.2616 1
Te5 Te 0.5000 0.7466 0.2534 1
Te6 Te 0.4834 0.7384 0.7384 1
Te7 Te 0.0000 0.7418 0.2582 1
Te8 Te 0.0000 0.2582 0.7418 1

=====

[3]
# TbPr3Ho2Te6 (PBE, relaxed)
# - Formation energy (no corrections): -1.3601 eV per atom
data_TbPr3Ho2Te6
_chemical_formula_sum 'Tb1 Pr3 Ho2 Te6'
_cell_length_a 4.3800
_cell_length_b 9.0094
_cell_length_c 9.9917
_cell_angle_alpha 104.74
_cell_angle_beta 102.66
_cell_angle_gamma 90.00
_space_group_name_H-M_alt 'P 1'
_space_group_IT_number 1
loop_
_space_group_symop_operation_xyz
'x,y,z'
loop_
_atom_site_label
_atom_site_type_symbol
_atom_site_fract_x
_atom_site_fract_y
_atom_site_fract_z
_atom_site_occupancy
Te1 Te 0.6644 0.0927 0.3289 1
Te2 Te 0.6707 0.5737 0.3413 1
Te3 Te 0.3293 0.4263 0.6587 1
Te4 Te 0.3356 0.9073 0.6711 1
Te5 Te 0.0040 0.2432 0.0080 1
Te6 Te 0.9960 0.7568 0.9920 1
Pr1 Pr 0.1653 0.8325 0.3306 1
Pr2 Pr 0.5000 0.5000 0.0000 1
Pr3 Pr 0.8347 0.1675 0.6694 1
Ho1 Ho 0.1659 0.3317 0.3318 1
Ho2 Ho 0.8341 0.6683 0.6682 1
Tb1 Tb 0.5000 0.0000 0.0000 1

=====

[4]
# ScSiPb2O (PBE, relaxed)
# - Formation energy (no corrections): -0.3367 eV per atom
data_ScSiPb2O
_chemical_formula_sum 'Sc1 Si1 Pb2 O1'
_cell_length_a 5.3584
_cell_length_b 3.6482
_cell_length_c 5.3584
_cell_angle_alpha 90.00
_cell_angle_beta 90.00
_cell_angle_gamma 90.00
_space_group_name_H-M_alt 'P 1'
_space_group_IT_number 1
loop_
_space_group_symop_operation_xyz
'x,y,z'
loop_
_atom_site_label
_atom_site_type_symbol
_atom_site_fract_x
_atom_site_fract_y
_atom_site_fract_z
_atom_site_occupancy
Pb1 Pb 0.0000 0.0000 0.5000 1
Pb2 Pb 0.5000 0.0000 0.0000 1
O1 O 0.0000 0.0000 0.0000 1
Sc1 Sc 0.5000 0.5000 0.5000 1
Si1 Si 0.0000 0.5000 0.0000 1

=====

[5]
# PmY4Tl5 (PBE, relaxed)
# - ΔH_f (0 K): -0.38 eV/atom
data_PmY4Tl5
_chemical_formula_sum 'Pm1 Y4 Tl5'
_cell_length_a 3.7773
_cell_length_b 3.7773
_cell_length_c 19.4813
_cell_angle_alpha 90.00
_cell_angle_beta 90.00
_cell_angle_gamma 90.00
_space_group_name_H-M_alt 'P 1'
_space_group_IT_number 1
loop_
_space_group_symop_operation_xyz
'x,y,z'
loop_
_atom_site_label
_atom_site_type_symbol
_atom_site_fract_x
_atom_site_fract_y
_atom_site_fract_z
_atom_site_occupancy
Y1 Y 0.0000 0.0000 0.5988 1
Y2 Y 0.0000 0.0000 0.7963 1
Y3 Y 0.0000 0.0000 0.4012 1
Y4 Y 0.0000 0.0000 0.2037 1
Tl1 Tl 0.5000 0.5000 0.6974 1
Tl2 Tl 0.5000 0.5000 0.3026 1
Tl3 Tl 0.5000 0.5000 0.1049 1
Tl4 Tl 0.5000 0.5000 0.8951 1
Tl5 Tl 0.5000 0.5000 0.5000 1
Pm1 Pm 0.0000 0.0000 0.0000 1

=====

[6]
# BaCr2Mo (PBE, relaxed)
# - ΔH_f (0 K): 1.29 eV/atom
# - Polymorph energy (0 for the lowest one): 519 meV per atom
data_BaCr2Mo
_chemical_formula_sum 'Ba1 Cr2 Mo1'
_cell_length_a 4.9071
_cell_length_b 4.9071
_cell_length_c 4.9071
_cell_angle_alpha 60.00
_cell_angle_beta 60.00
_cell_angle_gamma 60.00
_space_group_name_H-M_alt 'P 1'
_space_group_IT_number 1
loop_
_space_group_symop_operation_xyz
'x,y,z'
loop_
_atom_site_label
_atom_site_type_symbol
_atom_site_fract_x
_atom_site_fract_y
_atom_site_fract_z
_atom_site_occupancy
Mo1 Mo 0.7500 0.7500 0.7500 1
Ba1 Ba 0.5000 0.5000 0.5000 1
Cr1 Cr 0.0000 0.0000 0.0000 1
Cr2 Cr 0.2500 0.2500 0.2500 1

=====

[7]
# RbInSe2N (PBE, relaxed)
# - Polymorph energy (0 for the lowest one): 0 meV per atom
# - Formation energy (no corrections): 0.2940 eV per atom
data_RbInSe2N
_chemical_formula_sum 'Rb1 In1 Se2 N1'
_cell_length_a 5.6697
_cell_length_b 5.6697
_cell_length_c 4.3834
_cell_angle_alpha 90.00
_cell_angle_beta 90.00
_cell_angle_gamma 90.00
_space_group_name_H-M_alt 'P 1'
_space_group_IT_number 1
loop_
_space_group_symop_operation_xyz
'x,y,z'
loop_
_atom_site_label
_atom_site_type_symbol
_atom_site_fract_x
_atom_site_fract_y
_atom_site_fract_z
_atom_site_occupancy
Se1 Se 0.5000 0.0000 0.0000 1
Se2 Se 0.0000 0.5000 0.0000 1
Rb1 Rb 0.5000 0.5000 0.5000 1
N1 N 0.0000 0.0000 0.5000 1
In1 In 0.0000 0.0000 0.0000 1

=====

[8]
# Hf6SiC3 (PBE, relaxed)
# - Formation energy (no corrections): -0.6763 eV per atom
data_Hf6SiC3
_chemical_formula_sum 'Hf12 Si2 C6'
_cell_length_a 3.3382
_cell_length_b 10.3665
_cell_length_c 10.1175
_cell_angle_alpha 114.77
_cell_angle_beta 90.00
_cell_angle_gamma 90.00
_space_group_name_H-M_alt 'P 1'
_space_group_IT_number 1
loop_
_space_group_symop_operation_xyz
'x,y,z'
loop_
_atom_site_label
_atom_site_type_symbol
_atom_site_fract_x
_atom_site_fract_y
_atom_site_fract_z
_atom_site_occupancy
Hf1 Hf 0.2500 0.2210 0.2662 1
Hf2 Hf 0.7500 0.4388 0.6045 1
Hf3 Hf 0.7500 0.7790 0.7338 1
Hf4 Hf 0.7500 0.9244 0.0708 1
Hf5 Hf 0.7500 0.1148 0.4693 1
Hf6 Hf 0.7500 0.3826 0.0569 1
Hf7 Hf 0.2500 0.5612 0.3955 1
Hf8 Hf 0.2500 0.2892 0.7558 1
Hf9 Hf 0.2500 0.6174 0.9431 1
Hf10 Hf 0.2500 0.0756 0.9292 1
Hf11 Hf 0.2500 0.8852 0.5307 1
Hf12 Hf 0.7500 0.7108 0.2442 1
C1 C 0.7500 0.4522 0.8440 1
C2 C 0.2500 0.8403 0.9043 1
C3 C 0.7500 0.7198 0.4735 1
C4 C 0.2500 0.5478 0.1560 1
C5 C 0.7500 0.1597 0.0957 1
C6 C 0.2500 0.2802 0.5265 1
Si1 Si 0.2500 0.9296 0.2789 1
Si2 Si 0.7500 0.0704 0.7211 1

=====

[9]
# Tb3Ho3Th (PBE, relaxed)
# - ΔH_f (0 K): 0.15 eV/atom
# - Polymorph energy (0 for the lowest one): 130 meV per atom
data_Tb3Ho3Th
_chemical_formula_sum 'Tb6 Ho6 Th2'
_cell_length_a 6.5654
_cell_length_b 6.5654
_cell_length_c 10.5680
_cell_angle_alpha 90.79
_cell_angle_beta 90.79
_cell_angle_gamma 95.37
_space_group_name_H-M_alt 'P 1'
_space_group_IT_number 1
loop_
_space_group_symop_operation_xyz
'x,y,z'
loop_
_atom_site_label
_atom_site_type_symbol
_atom_site_fract_x
_atom_site_fract_y
_atom_site_fract_z
_atom_site_occupancy
Ho1 Ho 0.3233 0.3233 0.4379 1
Ho2 Ho 0.1831 0.8169 0.0000 1
Ho3 Ho 0.8169 0.1831 0.0000 1
Ho4 Ho 0.1901 0.8099 0.5000 1
Ho5 Ho 0.8099 0.1901 0.5000 1
Ho6 Ho 0.6767 0.6767 0.5621 1
Tb1 Tb 0.4841 0.1272 0.7531 1
Tb2 Tb 0.0293 0.0293 0.2527 1
Tb3 Tb 0.9707 0.9707 0.7473 1
Tb4 Tb 0.8728 0.5159 0.2469 1
Tb5 Tb 0.1272 0.4841 0.7531 1
Tb6 Tb 0.5159 0.8728 0.2469 1
Th1 Th 0.6659 0.6659 0.9199 1
Th2 Th 0.3341 0.3341 0.0801 1

=====

[10]
# Ba2MgInPb6 (PBE, relaxed)
# - ΔH_f (0 K): -0.18 eV/atom
data_Ba2MgInPb6
_chemical_formula_sum 'Ba4 Mg2 In2 Pb12'
_cell_length_a 7.7478
_cell_length_b 7.7478
_cell_length_c 14.4423
_cell_angle_alpha 74.44
_cell_angle_beta 74.44
_cell_angle_gamma 60.00
_space_group_name_H-M_alt 'P 1'
_space_group_IT_number 1
loop_
_space_group_symop_operation_xyz
'x,y,z'
loop_
_atom_site_label
_atom_site_type_symbol
_atom_site_fract_x
_atom_site_fract_y
_atom_site_fract_z
_atom_site_occupancy
Pb1 Pb 0.6656 0.0732 0.5956 1
Pb2 Pb 0.0732 0.6656 0.5956 1
Pb3 Pb 0.6503 0.2255 0.8987 1
Pb4 Pb 0.7745 0.3497 0.1013 1
Pb5 Pb 0.6656 0.6656 0.5956 1
Pb6 Pb 0.3497 0.7745 0.1013 1
Pb7 Pb 0.9268 0.3344 0.4044 1
Pb8 Pb 0.3344 0.9268 0.4044 1
Pb9 Pb 0.7745 0.7745 0.1013 1
Pb10 Pb 0.3344 0.3344 0.4044 1
Pb11 Pb 0.2255 0.2255 0.8987 1
Pb12 Pb 0.2255 0.6503 0.8987 1
In1 In 0.4269 0.4269 0.7192 1
In2 In 0.5731 0.5731 0.2808 1
Ba1 Ba 0.8899 0.8899 0.3304 1
Ba2 Ba 0.1101 0.1101 0.6696 1
Ba3 Ba 0.2858 0.2858 0.1425 1
Ba4 Ba 0.7142 0.7142 0.8575 1
Mg1 Mg 0.0000 0.0000 0.0000 1
Mg2 Mg 0.5000 0.5000 0.5000 1

=====

no.,calculated total energy (Ha/atom)
1,-0.29858
2,-0.19187
3,-0.19384
4,-0.18972
5,-0.16991
6,-0.24662
7,-0.12884
8,-0.36594
9,-0.17831
10,-0.11840